Here is a relaxed PrNd2Sn3PdPt2 crystal from OQMD via LeMat-Bulk. Energies are from PBE.

Output
Final energy in eV/cell: -52.68
Crystal system: orthorhombic
Density in g/cm³: 10.1

a b c (Å): 4.1451 7.6734 7.6734
angles (deg): 120.03 90.00 90.00
With the nearest neighbours (Å) after each atom.
Atoms (fractional coordinates):
Pd1 0.0000 0.9991 0.9991  6 Sn 2.83-2.84, 2 Nd 3.15, 1 Pr 3.16
Nd1 0.0000 0.5891 0.0001  4 Pt 3.10-3.11, 1 Pd 3.15, 6 Sn 3.31-3.45
Pt1 0.5000 0.6679 0.3329  3 Sn 2.90-2.93, 4 Nd 3.10-3.11, 2 Pr 3.12
Pt2 0.5000 0.3329 0.6679  3 Sn 2.90-2.93, 4 Nd 3.10-3.11, 2 Pr 3.12
Pr1 0.0000 0.4114 0.4114  4 Pt 3.12, 1 Pd 3.16, 6 Sn 3.31-3.45
Sn1 0.5000 0.7480 0.7480  2 Pd 2.83, 2 Pt 2.93
Sn2 0.5000 0.2522 0.9993  2 Pd 2.84, 2 Pt 2.90-2.92
Sn3 0.5000 0.9993 0.2522  2 Pd 2.84, 2 Pt 2.90-2.92
Nd2 0.0000 0.0001 0.5891  4 Pt 3.10-3.11, 1 Pd 3.15, 6 Sn 3.31-3.45

Here is a relaxed GdMgZn crystal from OQMD via LeMat-Bulk. Energies are from PBE.

Output
Final energy in eV/cell: -7.45
Crystal system: trigonal
Density in g/cm³: 5.7

a b c (Å): 3.4065 3.4065 7.1969
angles (deg): 90.00 90.00 120.00
With the nearest neighbours (Å) after each atom.
Atoms (fractional coordinates):
Mg1 0.0000 0.0000 0.0798  3 Zn 2.85
Zn1 0.3333 0.6667 0.7925  3 Mg 2.85, 3 Gd 3.05
Gd1 0.6667 0.3333 0.4681  3 Zn 3.05, 6 Gd 3.41, 3 Mg 3.42

Here is a relaxed Cu2SnTe4Pt crystal from OQMD via LeMat-Bulk. Energies are from PBE.

Output
Final energy in eV/cell: -31.04
Crystal system: tetragonal
Density in g/cm³: 6.8

a b c (Å): 7.5216 7.5216 7.5216
angles (deg): 131.94 131.94 70.32
With the nearest neighbours (Å) after each atom.
Atoms (fractional coordinates):
Te1 0.3677 0.9074 0.0000  2 Cu 2.58, 1 Pt 2.61
Sn1 0.5000 0.5000 0.0000  4 Te 2.89
Cu1 0.7500 0.2500 0.5000  4 Te 2.58
Pt1 0.0000 0.0000 0.0000  4 Te 2.61
Te2 0.0926 0.0926 0.4602  2 Cu 2.58, 1 Pt 2.61
Te3 0.6323 0.6323 0.5398  2 Cu 2.58, 1 Pt 2.61
Cu2 0.2500 0.7500 0.5000  4 Te 2.58
Te4 0.9074 0.3677 0.0000  2 Cu 2.58, 1 Pt 2.61

Here is a relaxed ScNbNi2Sn2 crystal from OQMD via LeMat-Bulk. Energies are from PBE.

Output
Final energy in eV/cell: -77.50
Energy above the most stable polymorph in this dataset in eV/atom: 0.000
Crystal system: orthorhombic
Density in g/cm³: 7.4

a b c (Å): 6.0604 4.2747 8.5873
angles (deg): 90.00 90.00 90.00
With the nearest neighbours (Å) after each atom.
Atoms (fractional coordinates):
Sn1 0.5081 0.0000 0.3754  4 Ni 2.62-2.70
Sc1 0.5050 0.5000 0.6226  4 Ni 2.64-2.75
Ni1 0.7401 0.0000 0.1168  4 Sn 2.57-2.63, 3 Nb 2.60-2.61, 1 Sc 2.75
Sn2 0.9924 0.5000 0.1258  4 Ni 2.57-2.63
Ni2 0.2598 0.5000 0.3646  1 Nb 2.49, 4 Sn 2.61-2.70, 3 Sc 2.64-2.67
Sn3 0.0081 0.5000 0.6246  4 Ni 2.62-2.70
Sn4 0.4924 0.0000 0.8742  4 Ni 2.57-2.63
Ni3 0.7598 0.0000 0.6354  1 Nb 2.49, 4 Sn 2.61-2.70, 3 Sc 2.64-2.67
Ni4 0.2401 0.5000 0.8832  4 Sn 2.57-2.63, 3 Nb 2.60-2.61, 1 Sc 2.75
Nb1 0.9946 0.0000 0.8735  4 Ni 2.49-2.61
Nb2 0.4946 0.5000 0.1265  4 Ni 2.49-2.61
Sc2 0.0050 0.0000 0.3774  4 Ni 2.64-2.75

Here is a relaxed HgH4C2S2O8F6 crystal from OQMD via LeMat-Bulk. Energies are from PBE.

Output
Final energy in eV/cell: -237.15
Crystal system: triclinic
Density in g/cm³: 3.6

a b c (Å): 7.4736 7.6208 8.9046
angles (deg): 99.84 99.30 95.53
With the nearest neighbours (Å) after each atom.
Atoms (fractional coordinates):
O1 0.9482 0.6508 0.3477  1 S 1.45
H1 0.4488 0.7423 0.2887  1 O 1.01
S1 0.8998 0.2324 0.6794  3 O 1.45-1.48
O2 0.0518 0.3492 0.6523  1 S 1.45
O3 0.1689 0.9281 0.4361  1 S 1.45
H2 0.4316 0.0668 0.6871  1 O 1.01
O4 0.8577 0.6744 0.7187  2 H 1.00
H3 0.1893 0.4516 0.2749  1 O 1.00
F1 0.8559 0.9251 0.1669  1 C 1.34
S2 0.1002 0.7676 0.3206  3 O 1.45-1.48
C1 0.5760 0.2821 0.0843  3 F 1.34-1.35
F2 0.0266 0.2832 0.9771  1 C 1.35
S3 0.3790 0.7168 0.7068  3 O 1.44-1.47
H4 0.0104 0.3242 0.2908  1 O 1.00
O5 0.5515 0.4459 0.3593  1 S 1.46
O6 0.4214 0.1989 0.6964  2 H 1.01
O7 0.5786 0.8011 0.3036  2 H 1.01
F3 0.6245 0.1332 0.0051  1 C 1.34
F4 0.3968 0.2873 0.0396  1 C 1.34
F5 0.8680 0.0185 0.8775  1 C 1.34
H5 0.5512 0.2577 0.7113  1 O 1.01
Hg1 0.2794 0.2596 0.4877  2 O 2.12-2.13
H6 0.5684 0.9332 0.3129  1 O 1.01
O8 0.4942 0.8770 0.6886  1 S 1.47, 1 H 1.56
O9 0.1423 0.3256 0.2813  2 H 1.00
F6 0.6741 0.4261 0.0550  1 C 1.35
C2 0.4240 0.7179 0.9157  3 F 1.34-1.35
C3 0.9907 0.1473 0.8539  3 F 1.34-1.35
F7 0.3755 0.8668 0.9949  1 C 1.34
O10 0.4485 0.5541 0.6407  1 S 1.46
F8 0.6032 0.7127 0.9604  1 C 1.34
H7 0.9896 0.6758 0.7092  1 O 1.00
O11 0.7561 0.3388 0.7280  1 S 1.48, 2 H 1.57-1.62
O12 0.8311 0.0719 0.5639  1 S 1.45
F9 0.1441 0.0749 0.8331  1 C 1.34
O13 0.8150 0.2776 0.3337  1 S 1.44, 1 H 1.59
F10 0.1320 0.9815 0.1225  1 C 1.34
F11 0.3259 0.5739 0.9450  1 C 1.35
O14 0.5058 0.1230 0.3114  1 S 1.47, 1 H 1.56
S4 0.6210 0.2832 0.2932  3 O 1.44-1.47
O15 0.2439 0.6612 0.2720  1 S 1.48, 2 H 1.57-1.62
F12 0.9734 0.7168 0.0229  1 C 1.35
C4 0.0093 0.8527 0.1461  3 F 1.34-1.35
H8 0.8107 0.5484 0.7251  1 O 1.00
Hg2 0.7206 0.7404 0.5123  2 O 2.12-2.13
O16 0.1850 0.7224 0.6663  1 S 1.44, 1 H 1.59

Here is a relaxed Lu2InAg crystal from OQMD via LeMat-Bulk. Energies are from PBE.

Output
Final energy in eV/cell: -29.52
Energy above the most stable polymorph in this dataset in eV/atom: 0.054
Crystal system: hexagonal
Density in g/cm³: 8.9

a b c (Å): 4.8976 4.8976 10.2533
angles (deg): 90.00 90.00 120.00
With the nearest neighbours (Å) after each atom.
Atoms (fractional coordinates):
Lu1 0.6667 0.3333 0.4075  3 Ag 2.98, 1 Lu 3.23, 3 In 3.26
Lu2 0.3333 0.6667 0.5925  3 Ag 2.98, 1 Lu 3.23, 3 In 3.26
In1 0.3333 0.6667 0.2500  8 Lu 3.26-3.51
Lu3 0.6667 0.3333 0.0925  3 Ag 2.98, 1 Lu 3.23, 3 In 3.26
In2 0.6667 0.3333 0.7500  8 Lu 3.26-3.51
Lu4 0.3333 0.6667 0.9075  3 Ag 2.98, 1 Lu 3.23, 3 In 3.26
Ag1 0.0000 0.0000 0.0000  6 Lu 2.98
Ag2 0.0000 0.0000 0.5000  6 Lu 2.98

Here is a relaxed YZnNi2 crystal from OQMD via LeMat-Bulk. Energies are from PBE.

Output
Final energy in eV/cell: -19.37
Energy of formation in eV/atom: -0.1262
Crystal system: cubic
Density in g/cm³: 7.0

a b c (Å): 4.5002 4.5002 4.5002
angles (deg): 60.00 60.00 60.00
With the nearest neighbours (Å) after each atom.
Atoms (fractional coordinates):
Y1 0.2500 0.2500 0.2500  4 Zn 2.76, 4 Ni 2.76
Ni1 0.7500 0.7500 0.7500  4 Ni 2.76, 4 Zn 2.76
Zn1 0.5000 0.5000 0.5000  4 Y 2.76, 4 Ni 2.76
Ni2 0.0000 0.0000 0.0000  4 Ni 2.76, 4 Y 2.76

Here is a relaxed Lu2InW crystal from OQMD via LeMat-Bulk. Energies are from PBE.

Output
Final energy in eV/cell: -23.43
Crystal system: cubic
Density in g/cm³: 12.4

a b c (Å): 4.9739 4.9739 4.9739
angles (deg): 60.00 60.00 60.00
With the nearest neighbours (Å) after each atom.
Atoms (fractional coordinates):
W1 0.2500 0.2500 0.2500  4 In 3.05, 4 Lu 3.05
In1 0.5000 0.5000 0.5000  4 W 3.05, 4 Lu 3.05
Lu1 0.7500 0.7500 0.7500  4 In 3.05, 4 Lu 3.05
Lu2 0.0000 0.0000 0.0000  4 Lu 3.05, 4 W 3.05